Entry 1:
Density functional theory data (PBE-GGA) for a relaxed MnSbHI2 crystal.

As for the crystal system: tetragonal. As for the offset from the most stable computed form: 4 meV/atom. The value obtained for the volume is 165 Å³/f.u. The value obtained for the calculated total energy is -3.375 eV per atom.

It has space group P4/mmm (No. 123), with a = 5.6505 Å, b = 5.6505 Å, c = 5.1797 Å, α = 90.00°, β = 90.00° and γ = 90.00°. Symmetry generates all atoms from Mn at (0.0000, 0.0000, 0.0000), Sb at (0.0000, 0.0000, 0.5000), H at (0.5000, 0.5000, 0.5000) and I at (0.0000, 0.5000, 0.0000).


Entry 2:
Density functional theory data (PBE-GGA) for a relaxed MnSbHI2 crystal.

As for the crystal system: tetragonal. As for the offset from the most stable computed form: 0 meV/atom. The value obtained for the volume is 123 Å³/f.u. The value obtained for the calculated total energy is -3.379 eV per atom.

It has space group P4/mmm (No. 123), with a = 5.5929 Å, b = 5.5929 Å, c = 3.9178 Å, α = 90.00°, β = 90.00° and γ = 90.00°. Symmetry generates all atoms from Mn at (0.0000, 0.0000, 0.0000), Sb at (0.5000, 0.5000, 0.0000), H at (0.5000, 0.5000, 0.5000) and I at (0.0000, 0.5000, 0.5000).


Entry 3:
Density functional theory data (PBE-GGA) for a relaxed Ta2MnHI crystal.

As for the crystal system: tetragonal. The value obtained for the volume is 123 Å³/f.u. The value obtained for the calculated total energy is -4.945 eV per atom.

It has space group P4/mmm (No. 123), with a = 5.0887 Å, b = 5.0887 Å, c = 4.7346 Å, α = 90.00°, β = 90.00° and γ = 90.00°. Symmetry generates all atoms from Ta at (0.0000, 0.5000, 0.0000), Mn at (0.0000, 0.0000, 0.5000), H at (0.5000, 0.5000, 0.5000) and I at (0.0000, 0.0000, 0.0000).


Entry 4:
Density functional theory data (PBE-GGA) for a relaxed TaMnHI2 crystal.

As for the crystal system: tetragonal. The value obtained for the volume is 96 Å³/f.u. The value obtained for the calculated total energy is -4.726 eV per atom.

It has space group P4/mmm (No. 123), with a = 5.1275 Å, b = 5.1275 Å, c = 3.6614 Å, α = 90.00°, β = 90.00° and γ = 90.00°. Symmetry generates all atoms from Ta at (0.0000, 0.0000, 0.0000), Mn at (0.5000, 0.5000, 0.0000), H at (0.0000, 0.0000, 0.5000) and I at (0.0000, 0.5000, 0.5000).


Entry 5:
Density functional theory data (PBE-GGA) for a relaxed MnTeHI2 crystal.

As for the crystal system: tetragonal. As for the offset from the most stable computed form: 102 meV/atom. The value obtained for the volume is 128 Å³/f.u. The value obtained for the calculated total energy is -3.161 eV per atom.

It has space group P4/mmm (No. 123), with a = 5.7388 Å, b = 5.7388 Å, c = 3.8947 Å, α = 90.00°, β = 90.00° and γ = 90.00°. Symmetry generates all atoms from Mn at (0.0000, 0.0000, 0.0000), Te at (0.5000, 0.5000, 0.0000), H at (0.5000, 0.5000, 0.5000) and I at (0.0000, 0.5000, 0.5000).


Entry 6:
Density functional theory data (PBE-GGA) for a relaxed MnTe2HI crystal.

As for the crystal system: tetragonal. As for the offset from the most stable computed form: 0 meV/atom. The value obtained for the volume is 134 Å³/f.u. The value obtained for the calculated total energy is -3.594 eV per atom.

It has space group P4/mmm (No. 123), with a = 4.3599 Å, b = 4.3599 Å, c = 7.0339 Å, α = 90.00°, β = 90.00° and γ = 90.00°. Symmetry generates all atoms from Mn at (0.0000, 0.0000, 0.0000), Te at (0.0000, 0.5000, 0.5000), H at (0.5000, 0.5000, 0.5000) and I at (0.5000, 0.5000, 0.0000).


Entry 7:
Density functional theory data (PBE-GGA) for a relaxed MnTeHI2 crystal.

As for the crystal system: tetragonal. As for the offset from the most stable computed form: 0 meV/atom. The value obtained for the volume is 167 Å³/f.u. The value obtained for the calculated total energy is -3.262 eV per atom.

It has space group P4/mmm (No. 123), with a = 5.6551 Å, b = 5.6551 Å, c = 5.2228 Å, α = 90.00°, β = 90.00° and γ = 90.00°. Symmetry generates all atoms from Mn at (0.0000, 0.0000, 0.0000), Te at (0.0000, 0.0000, 0.5000), H at (0.5000, 0.5000, 0.5000) and I at (0.0000, 0.5000, 0.0000).


Entry 8:
Density functional theory data (PBE-GGA) for a relaxed MnTe2HI crystal.

As for the crystal system: tetragonal. As for the offset from the most stable computed form: 801 meV/atom. The value obtained for the volume is 195 Å³/f.u. The value obtained for the calculated total energy is -2.793 eV per atom.

It has space group P4/mmm (No. 123), with a = 6.0228 Å, b = 6.0228 Å, c = 5.3773 Å, α = 90.00°, β = 90.00° and γ = 90.00°. Symmetry generates all atoms from Mn at (0.0000, 0.0000, 0.0000), Te at (0.0000, 0.5000, 0.5000), H at (0.5000, 0.5000, 0.0000) and I at (0.0000, 0.0000, 0.5000).


Entry 9:
Density functional theory data (PBE-GGA) for a relaxed MnTe2HI crystal.

As for the crystal system: tetragonal. As for the offset from the most stable computed form: 368 meV/atom. The value obtained for the volume is 137 Å³/f.u. The value obtained for the calculated total energy is -3.225 eV per atom.

It has space group P4/mmm (No. 123), with a = 4.8885 Å, b = 4.8885 Å, c = 5.7238 Å, α = 90.00°, β = 90.00° and γ = 90.00°. Symmetry generates all atoms from Mn at (0.0000, 0.0000, 0.0000), Te at (0.0000, 0.5000, 0.0000), H at (0.5000, 0.5000, 0.5000) and I at (0.0000, 0.0000, 0.5000).


Entry 10:
Density functional theory data (PBE-GGA) for a relaxed MoHI crystal.

As for the crystal system: tetragonal. The value obtained for the volume is 62 Å³/f.u. The value obtained for the calculated total energy is -5.143 eV per atom.

It has space group I4_1/a (No. 88, origin choice 2), with a = 16.2851 Å, b = 16.2851 Å, c = 7.5082 Å, α = 90.00°, β = 90.00° and γ = 90.00°. Symmetry generates all atoms from Mo at (0.1429, 0.0128, 0.4271), Mo at (0.1788, 0.4903, 0.1741), H at (0.1462, 0.4240, 0.4223), H at (0.1500, 0.4587, 0.7848), I at (0.0182, 0.0687, 0.6776) and I at (0.0978, 0.1421, 0.2002).


Entry 11:
Density functional theory data (PBE-GGA) for a relaxed MoH3I crystal.

As for the crystal system: cubic. As for the offset from the most stable computed form: 1167 meV/atom. The value obtained for the volume is 58 Å³/f.u. The value obtained for the calculated total energy is -2.587 eV per atom.

It has space group Pm-3m (No. 221), with a = 3.8626 Å, b = 3.8626 Å, c = 3.8626 Å, α = 90.00°, β = 90.00° and γ = 90.00°. Symmetry generates all atoms from Mo at (0.0000, 0.0000, 0.0000), H at (0.0000, 0.5000, 0.5000) and I at (0.5000, 0.5000, 0.5000).


Entry 12:
Density functional theory data (PBE-GGA) for a relaxed MoH3I crystal.

As for the crystal system: cubic. As for the offset from the most stable computed form: 0 meV/atom. The value obtained for the volume is 57 Å³/f.u. The value obtained for the calculated total energy is -3.754 eV per atom.

It has space group Pm-3m (No. 221), with a = 3.8379 Å, b = 3.8379 Å, c = 3.8379 Å, α = 90.00°, β = 90.00° and γ = 90.00°. Symmetry generates all atoms from Mo at (0.0000, 0.0000, 0.0000), H at (0.0000, 0.0000, 0.5000) and I at (0.5000, 0.5000, 0.5000).